Entry 1:
Material: Pr4OsAuBr2
Method: DFT, PBE-GGA
State: optimized geometry

The total energy is -5.487 eV per atom. For the magnetization, the calculation gives 0.0 μB/f.u.

Lattice parameters (Å, degrees): 7.4218 4.2508 8.2161 90.00 107.61 90.00
With the nearest neighbours (Å) after each atom.
Fractional positions:
Pr: 0.2204 0.0000 0.1985  2 Os 2.87, 1 Au 3.00
Pr: 0.2411 0.5000 0.7979  1 Os 2.78, 2 Au 3.01
Pr: 0.7589 0.5000 0.2021  1 Os 2.78, 2 Au 3.01
Pr: 0.7796 0.0000 0.8015  2 Os 2.87, 1 Au 3.00
Os: 0.0000 0.5000 0.0000  6 Pr 2.78-2.87
Au: 0.5000 0.0000 0.0000  6 Pr 3.00-3.01
Br: 0.0000 0.0000 0.5000  6 Pr 3.33-3.36
Br: 0.5000 0.5000 0.5000  6 Pr 3.44-3.54

Entry 2:
Material: BaAsAu2
Method: DFT, PBE-GGA
State: optimized geometry

The formation enthalpy at 0 K is -1.89 eV/f.u. The total energy is -3.755 eV per atom. For the magnetization, the calculation gives 0.0 μB/f.u.

Lattice parameters (Å, degrees): 4.7118 4.7118 6.1941 112.39 112.39 60.13
With the nearest neighbours (Å) after each atom.
Fractional positions:
Ba: 0.0000 0.0000 0.0000  8 Au 3.42-3.48
As: 0.5000 0.5000 0.5000  6 Au 2.81
Au: 0.2088 0.2088 0.6263  3 As 2.81, 3 Au 3.06-3.07
Au: 0.7912 0.7912 0.3737  3 As 2.81, 3 Au 3.06-3.07

Entry 3:
Material: Li2MgTa
Method: DFT, PBE-GGA
State: optimized geometry

The formation enthalpy at 0 K is 1.78 eV/f.u. The total energy is -3.874 eV per atom. For the magnetization, the calculation gives 0.7 μB/f.u.

Lattice parameters (Å, degrees): 2.7459 5.2384 5.2535 90.00 90.00 90.00
With the nearest neighbours (Å) after each atom.
Fractional positions:
Li: 0.0000 0.0000 0.0000  6 Li 2.75-2.96, 4 Ta 2.96
Li: 0.5000 0.0000 0.5000  6 Li 2.75-2.96, 4 Mg 2.96
Mg: 0.0000 0.5000 0.5000  2 Mg 2.75, 4 Li 2.96, 4 Ta 2.96
Ta: 0.5000 0.5000 0.0000  2 Ta 2.75, 4 Li 2.96, 4 Mg 2.96

Entry 4:
Material: Li4ZnSn2
Method: DFT, PBE-GGA
State: optimized geometry

The formation enthalpy at 0 K is -1.63 eV/f.u. The total energy is -2.652 eV per atom. For the magnetization, the calculation gives 0.0 μB/f.u.

Lattice parameters (Å, degrees): 4.8989 6.6059 8.2617 90.00 92.74 90.00
With the nearest neighbours (Å) after each atom.
Fractional positions:
Li: 0.1121 0.2500 0.1177  1 Zn 2.72, 3 Sn 2.74-2.82
Li: 0.3564 0.7500 0.4012  1 Zn 2.54, 2 Li 2.65, 2 Sn 2.71-2.77
Li: 0.3725 0.5611 0.7133  2 Li 2.50-2.65, 1 Zn 2.63
Li: 0.3725 0.9389 0.7133  2 Li 2.50-2.65, 1 Zn 2.63
Li: 0.6275 0.0611 0.2867  2 Li 2.50-2.65, 1 Zn 2.63
Li: 0.6275 0.4389 0.2867  2 Li 2.50-2.65, 1 Zn 2.63
Li: 0.6436 0.2500 0.5988  1 Zn 2.54, 2 Li 2.65, 2 Sn 2.71-2.77
Li: 0.8879 0.7500 0.8823  1 Zn 2.72, 3 Sn 2.74-2.82
Zn: 0.0675 0.2500 0.7880  4 Li 2.54-2.72, 2 Sn 2.77-2.82
Zn: 0.9325 0.7500 0.2120  4 Li 2.54-2.72, 2 Sn 2.77-2.82
Sn: 0.1249 0.2500 0.4501  5 Li 2.71-3.00, 1 Zn 2.82
Sn: 0.4080 0.7500 0.0443  7 Li 2.76-3.03, 2 Zn 2.77-2.86
Sn: 0.5920 0.2500 0.9557  7 Li 2.76-3.03, 2 Zn 2.77-2.86
Sn: 0.8751 0.7500 0.5499  5 Li 2.71-3.00, 1 Zn 2.82

Entry 5:
Material: CdIrW4
Method: DFT, PBE-GGA
State: optimized geometry

The formation enthalpy at 0 K is 3.46 eV/f.u. The total energy is -9.688 eV per atom. For the magnetization, the calculation gives 0.0 μB/f.u.

Lattice parameters (Å, degrees): 5.2765 5.2765 5.2765 60.00 60.00 60.00
With the nearest neighbours (Å) after each atom.
Fractional positions:
Cd: 0.0000 0.0000 0.0000  12 W 3.09, 4 Ir 3.23
Ir: 0.7500 0.7500 0.7500  12 W 3.10, 4 Cd 3.23
W: 0.3735 0.3735 0.3735  6 W 2.61-2.67
W: 0.3735 0.3735 0.8796  6 W 2.61-2.67
W: 0.3735 0.8796 0.3735  6 W 2.61-2.67
W: 0.8796 0.3735 0.3735  6 W 2.61-2.67

Entry 6:
Material: YTiSn2
Method: DFT, PBE-GGA
State: optimized geometry

Its energy above the lowest structure with this stoichiometry is 0.00 kJ per mole of atoms. The formation enthalpy at 0 K is -1.37 eV/f.u. The total energy is -5.933 eV per atom. For the magnetization, the calculation gives 0.0 μB/f.u.

Lattice parameters (Å, degrees): 3.7524 3.7524 6.6396 90.00 90.00 90.00
With the nearest neighbours (Å) after each atom.
Fractional positions:
Y: 0.0000 0.0000 0.0000  8 Sn 3.25, 2 Ti 3.32
Ti: 0.0000 0.0000 0.5000  8 Sn 3.02, 2 Y 3.32
Sn: 0.5000 0.5000 0.2821  1 Sn 2.89, 4 Ti 3.02
Sn: 0.5000 0.5000 0.7179  1 Sn 2.89, 4 Ti 3.02

Q: Which formula does entry 1 have?
A: Pr4OsAuBr2